Be4CdAu | SCAN | single point on PBEsol structure

Computed properties:
symmetry = F-43m, No. 216
energy of formation = -7.3 kJ/mol of atoms
size of the total moment = 0.00 μB/atom
crystal system = cubic

The structure in extended XYZ format:
```
6
Lattice="0.000 3.227 3.227 3.227 0.000 3.227 3.227 3.227 0.000" Properties=species:S:1:pos:R:3 pbc="T T T"
Be 2.427 2.427 2.427
Be 4.026 4.026 2.427
Be 4.026 2.427 4.026
Be 2.427 4.026 4.026
Cd 0.000 0.000 0.000
Au 4.840 4.840 4.840
```